(1)
First-principles (PBE) data for crystalline HgPAu2 at its relaxed geometry, as listed in Alexandria.

abc: 2.821 3.550 7.657
angles: 90.00 90.00 90.00
Sites, in units of the cell vectors:
P 0.500 0.500 0.750
Au 0.000 0.000 0.535
Hg 0.500 0.500 0.250
Au 0.000 0.000 0.965

Size of the total moment ... 0.00 μB per formula unit
E_form ... 117 kJ/mol of formula units
Crystal system ... orthorhombic

***

(2)
First-principles (PBE) data for crystalline HgP2Au at its relaxed geometry, as listed in Alexandria.

abc: 2.919 2.919 10.739
angles: 90.00 90.00 115.56
Sites, in units of the cell vectors:
Hg 0.500 0.500 0.743
P 0.500 0.500 0.211
Au 0.000 0.000 0.482
P 0.000 0.000 0.063

Size of the total moment ... 0.00 μB per formula unit
E_form ... 148 kJ/mol of formula units
Crystal system ... orthorhombic

***

(3)
First-principles (PBE) data for crystalline HgPAu2 at its relaxed geometry, as listed in Alexandria.

abc: 7.308 7.308 7.308
angles: 156.97 146.89 40.72
Sites, in units of the cell vectors:
P 0.221 0.721 0.500
Au 0.766 0.266 0.500
Hg 0.447 0.447 0.000
Au 0.065 0.065 0.000

Size of the total moment ... 0.00 μB per formula unit
E_form ... 77 kJ/mol of formula units
Crystal system ... orthorhombic